Record 1
An optimized crystal structure of TmInSnTe3. Source: OQMD via LeMat-Bulk, functional PBE-GGA.

Values from the calculation:
final energy: -4.05 eV per atom
crystal system: orthorhombic
theoretical density: 6.5 Mg/m³
M_tot: 0.0 Bohr magnetons per cell
symmetry: Cmcm, No. 63

a b c (Å): 7.8257 7.8257 12.4113
angles (deg): 90.00 90.00 148.26
Last column: nearest neighbours and their distance in Å.
Positions (direct):
Tm: 0.0000 0.0000 0.5000  6 Te 3.02-3.10
Tm: 0.0000 0.0000 0.0000  6 Te 3.02-3.10
Te: 0.6414 0.3586 0.5002  2 Tm 3.02, 1 Sn 3.10, 1 In 3.15
Te: 0.6414 0.3586 0.9998  2 Tm 3.02, 1 Sn 3.10, 1 In 3.15
Te: 0.9965 0.0035 0.7500  2 Tm 3.10, 2 Sn 3.11, 2 In 3.39
Te: 0.0035 0.9965 0.2500  2 Tm 3.10, 2 Sn 3.11, 2 In 3.39
Te: 0.3586 0.6414 0.0002  2 Tm 3.02, 1 Sn 3.10, 1 In 3.15
Te: 0.3586 0.6414 0.4998  2 Tm 3.02, 1 Sn 3.10, 1 In 3.15
Sn: 0.6463 0.3537 0.7500  4 Te 3.10-3.11, 2 In 3.40
Sn: 0.3537 0.6463 0.2500  4 Te 3.10-3.11, 2 In 3.40
In: 0.3219 0.6781 0.7500  4 Te 3.15-3.39, 2 Sn 3.40
In: 0.6781 0.3219 0.2500  4 Te 3.15-3.39, 2 Sn 3.40

=====

Record 2
An optimized crystal structure of TmInSnTe3. Source: OQMD via LeMat-Bulk, functional PBE-GGA.

Values from the calculation:
final energy: -4.05 eV per atom
crystal system: orthorhombic
theoretical density: 6.4 Mg/m³
M_tot: 0.0 Bohr magnetons per cell
symmetry: Cmcm, No. 63

a b c (Å): 8.0161 8.0161 12.2408
angles (deg): 90.00 90.00 148.81
Last column: nearest neighbours and their distance in Å.
Positions (direct):
In: 0.2985 0.7015 0.7500  2 Te 3.16, 2 Sn 3.35
In: 0.7015 0.2985 0.2500  2 Te 3.16, 2 Sn 3.35
Tm: 0.0000 0.0000 0.5000  6 Te 3.03-3.06
Tm: 0.0000 0.0000 0.0000  6 Te 3.03-3.06
Te: 0.3620 0.6380 0.9956  2 Tm 3.03, 1 Sn 3.12, 1 In 3.16
Te: 0.6380 0.3620 0.4956  2 Tm 3.03, 1 Sn 3.12, 1 In 3.16
Te: 0.9926 0.0074 0.7500  2 Sn 3.05, 2 Tm 3.06
Te: 0.0074 0.9926 0.2500  2 Sn 3.05, 2 Tm 3.06
Te: 0.3620 0.6380 0.5044  2 Tm 3.03, 1 Sn 3.12, 1 In 3.16
Te: 0.6380 0.3620 0.0044  2 Tm 3.03, 1 Sn 3.12, 1 In 3.16
Sn: 0.3676 0.6324 0.2500  4 Te 3.05-3.12, 2 In 3.35
Sn: 0.6324 0.3676 0.7500  4 Te 3.05-3.12, 2 In 3.35

=====

Record 3
An optimized crystal structure of ThInSn2. Source: OQMD via LeMat-Bulk, functional PBE-GGA.

Values from the calculation:
final energy: -4.97 eV per atom
crystal system: tetragonal
theoretical density: 9.0 Mg/m³
M_tot: 0.0 Bohr magnetons per cell
symmetry: P4/mmm, No. 123

a b c (Å): 4.8089 4.8089 4.6429
angles (deg): 90.00 90.00 90.00
Last column: nearest neighbours and their distance in Å.
Positions (direct):
Sn: 0.0000 0.5000 0.0000  4 In 3.34, 4 Th 3.34, 4 Sn 3.40
Sn: 0.5000 0.0000 0.0000  4 In 3.34, 4 Th 3.34, 4 Sn 3.40
In: 0.0000 0.0000 0.5000  8 Sn 3.34, 4 Th 3.40
Th: 0.5000 0.5000 0.5000  8 Sn 3.34, 4 In 3.40

=====

Record 4
An optimized crystal structure of TmInSn. Source: OQMD via LeMat-Bulk, functional PBE-GGA.

Values from the calculation:
final energy: -3.81 eV per atom
crystal system: cubic
theoretical density: 7.4 Mg/m³
M_tot: 0.0 Bohr magnetons per cell
symmetry: F-43m, No. 216

a b c (Å): 5.0461 5.0461 5.0461
angles (deg): 60.00 60.00 60.00
Last column: nearest neighbours and their distance in Å.
Positions (direct):
Tm: 0.0000 0.0000 0.0000  4 Sn 3.09
In: 0.5000 0.5000 0.5000  4 Sn 3.09
Sn: 0.2500 0.2500 0.2500  4 In 3.09, 4 Tm 3.09

=====

Record 5
An optimized crystal structure of TmInSn. Source: OQMD via LeMat-Bulk, functional PBE-GGA.

Values from the calculation:
final energy: -3.92 eV per atom
crystal system: cubic
theoretical density: 7.3 Mg/m³
M_tot: 0.0 Bohr magnetons per cell
symmetry: F-43m, No. 216

a b c (Å): 5.0592 5.0592 5.0592
angles (deg): 60.00 60.00 60.00
Last column: nearest neighbours and their distance in Å.
Positions (direct):
Sn: 0.7500 0.7500 0.7500  4 Tm 3.10
Tm: 0.0000 0.0000 0.0000  4 Sn 3.10, 4 In 3.10
In: 0.2500 0.2500 0.2500  4 Tm 3.10

=====

Record 6
An optimized crystal structure of UInSn2. Source: OQMD via LeMat-Bulk, functional PBE-GGA.

Values from the calculation:
final energy: -5.62 eV per atom
crystal system: tetragonal
theoretical density: 9.8 Mg/m³
M_tot: 2.4 Bohr magnetons per cell
symmetry: P4/mmm, No. 123

a b c (Å): 4.7471 4.7471 4.4229
angles (deg): 90.00 90.00 90.00
Last column: nearest neighbours and their distance in Å.
Positions (direct):
Sn: 0.0000 0.5000 0.0000  4 In 3.24, 4 U 3.24, 4 Sn 3.36
Sn: 0.5000 0.0000 0.0000  4 In 3.24, 4 U 3.24, 4 Sn 3.36
U: 0.5000 0.5000 0.5000  8 Sn 3.24, 4 In 3.36
In: 0.0000 0.0000 0.5000  8 Sn 3.24, 4 U 3.36

=====

Record 7
An optimized crystal structure of Zn2In2Sn. Source: OQMD via LeMat-Bulk, functional PBE-GGA.

Values from the calculation:
final energy: -2.28 eV per atom
crystal system: tetragonal
theoretical density: 6.9 Mg/m³
symmetry: I4/mmm, No. 139

a b c (Å): 6.9098 6.9098 6.9098
angles (deg): 143.57 143.57 52.47
Last column: nearest neighbours and their distance in Å.
Positions (direct):
In: 0.2500 0.7500 0.5000  4 Zn 2.87, 4 In 3.05
In: 0.7500 0.2500 0.5000  4 Zn 2.87, 4 In 3.05
Sn: 0.0000 0.0000 0.0000  8 Zn 3.28
Zn: 0.5975 0.5975 0.0000  1 Zn 2.42
Zn: 0.4025 0.4025 0.0000  1 Zn 2.42

=====

Record 8
An optimized crystal structure of Zn2In2Sn. Source: OQMD via LeMat-Bulk, functional PBE-GGA.

Values from the calculation:
final energy: -2.25 eV per atom
crystal system: tetragonal
theoretical density: 6.8 Mg/m³
symmetry: I4/mmm, No. 139

a b c (Å): 7.2676 7.2676 7.2676
angles (deg): 146.39 146.39 48.27
Last column: nearest neighbours and their distance in Å.
Positions (direct):
Zn: 0.2500 0.7500 0.5000  4 In 2.81, 4 Zn 2.97
Zn: 0.7500 0.2500 0.5000  4 In 2.81, 4 Zn 2.97
In: 0.3902 0.3902 0.0000  4 Zn 2.81, 1 In 2.91
In: 0.6098 0.6098 0.0000  4 Zn 2.81, 1 In 2.91
Sn: 0.0000 0.0000 0.0000  8 In 3.31

=====

Record 9
An optimized crystal structure of Zn5InSn2. Source: OQMD via LeMat-Bulk, functional PBE-GGA.

Values from the calculation:
final energy: -1.80 eV per atom
crystal system: tetragonal
theoretical density: 6.0 Mg/m³
symmetry: P4/mmm, No. 123

a b c (Å): 6.2237 6.2237 4.8767
angles (deg): 90.00 90.00 90.00
Last column: nearest neighbours and their distance in Å.
Positions (direct):
Sn: 0.5000 0.0000 0.5000  10 Zn 3.11-3.32
Sn: 0.0000 0.5000 0.5000  10 Zn 3.11-3.32
Zn: 0.3016 0.3016 0.0000  2 Zn 2.47, 1 In 2.65
Zn: 0.6984 0.3016 0.0000  2 Zn 2.47, 1 In 2.65
Zn: 0.6984 0.6984 0.0000  2 Zn 2.47, 1 In 2.65
Zn: 0.0000 0.0000 0.5000  2 In 2.44
Zn: 0.3016 0.6984 0.0000  2 Zn 2.47, 1 In 2.65
In: 0.0000 0.0000 0.0000  6 Zn 2.44-2.65

=====

Record 10
An optimized crystal structure of ZnInSn. Source: OQMD via LeMat-Bulk, functional PBE-GGA.

Values from the calculation:
final energy: -2.52 eV per atom
crystal system: cubic
theoretical density: 6.1 Mg/m³
symmetry: F-43m, No. 216

a b c (Å): 4.8654 4.8654 4.8654
angles (deg): 60.00 60.00 60.00
Last column: nearest neighbours and their distance in Å.
Positions (direct):
Sn: 0.0000 0.0000 0.0000  4 Zn 2.98, 4 In 2.98
In: 0.2500 0.2500 0.2500  4 Sn 2.98
Zn: 0.7500 0.7500 0.7500  4 Sn 2.98

=====

Record 11
An optimized crystal structure of SrTaIn. Source: OQMD via LeMat-Bulk, functional PBE-GGA.

Values from the calculation:
final energy: -4.73 eV per atom
crystal system: hexagonal
theoretical density: 8.7 Mg/m³
M_tot: 1.7 Bohr magnetons per cell
symmetry: P-62m, No. 189

a b c (Å): 9.1361 9.1361 3.0494
angles (deg): 90.00 90.00 120.00
Last column: nearest neighbours and their distance in Å.
Positions (direct):
Sr: 0.2974 0.0000 0.0000  2 Sr 3.05, 4 Ta 3.12-3.22, 2 In 3.37
Sr: 0.7026 0.7026 0.0000  2 Sr 3.05, 4 Ta 3.12-3.22, 2 In 3.37
Sr: 0.0000 0.2974 0.0000  2 Sr 3.05, 4 Ta 3.12-3.22, 2 In 3.37
Ta: 0.3333 0.6667 0.0000  2 Ta 3.05, 3 Sr 3.22, 6 In 3.26
Ta: 0.0000 0.0000 0.5000  2 Ta 3.05, 6 Sr 3.12
Ta: 0.6667 0.3333 0.0000  2 Ta 3.05, 3 Sr 3.22, 6 In 3.26
In: 0.0000 0.6257 0.5000  2 In 3.05, 4 Ta 3.26, 2 Sr 3.37
In: 0.3743 0.3743 0.5000  2 In 3.05, 4 Ta 3.26, 2 Sr 3.37
In: 0.6257 0.0000 0.5000  2 In 3.05, 4 Ta 3.26, 2 Sr 3.37

=====

Record 12
An optimized crystal structure of SrTbIn2. Source: OQMD via LeMat-Bulk, functional PBE-GGA.

Values from the calculation:
final energy: -3.30 eV per atom
crystal system: orthorhombic
theoretical density: 6.3 Mg/m³
M_tot: 0.0 Bohr magnetons per cell
symmetry: Cmcm, No. 63

a b c (Å): 7.1485 7.1485 7.4991
angles (deg): 90.00 90.00 139.01
Last column: nearest neighbours and their distance in Å.
Positions (direct):
In: 0.8872 0.1128 0.4431  2 In 2.90-3.14, 3 Tb 3.20-3.23
In: 0.8872 0.1128 0.0569  2 In 2.90-3.14, 3 Tb 3.20-3.23
In: 0.1128 0.8872 0.5569  2 In 2.90-3.14, 3 Tb 3.20-3.23
In: 0.1128 0.8872 0.9431  2 In 2.90-3.14, 3 Tb 3.20-3.23
Tb: 0.7209 0.2791 0.7500  6 In 3.20-3.23
Tb: 0.2791 0.7209 0.2500  6 In 3.20-3.23
Sr: 0.5663 0.4337 0.2500  8 In 3.46-3.76, 3 Tb 3.79-3.85
Sr: 0.4337 0.5663 0.7500  8 In 3.46-3.76, 3 Tb 3.79-3.85

=====

Record 13
An optimized crystal structure of SrIn3Tc. Source: OQMD via LeMat-Bulk, functional PBE-GGA.

Values from the calculation:
final energy: -4.19 eV per atom
crystal system: tetragonal
theoretical density: 6.4 Mg/m³
M_tot: 0.0 Bohr magnetons per cell
symmetry: P4/nmm, No. 129

a b c (Å): 7.1487 7.1487 5.3416
angles (deg): 90.00 90.00 90.00
Last column: nearest neighbours and their distance in Å.
Positions (direct):
In: 0.2500 0.7500 0.0000  2 Tc 2.63
In: 0.5000 0.0000 0.3794  2 Tc 2.57-2.77
In: 0.7500 0.7500 0.0000  2 Tc 2.63
In: 0.7500 0.2500 0.0000  2 Tc 2.63
In: 0.2500 0.2500 0.0000  2 Tc 2.63
In: 0.0000 0.5000 0.6206  2 Tc 2.57-2.77
Tc: 0.0000 0.5000 0.1392  6 In 2.57-2.77
Tc: 0.5000 0.0000 0.8608  6 In 2.57-2.77
Sr: 0.5000 0.5000 0.5000  12 In 3.63-3.68, 4 Tc 4.06
Sr: 0.0000 0.0000 0.5000  12 In 3.63-3.68, 4 Tc 4.06

=====

Record 14
An optimized crystal structure of SrIn2Tc. Source: OQMD via LeMat-Bulk, functional PBE-GGA.

Values from the calculation:
final energy: -3.87 eV per atom
crystal system: cubic
theoretical density: 7.5 Mg/m³
M_tot: 0.9 Bohr magnetons per cell
symmetry: F-43m, No. 216

a b c (Å): 5.0675 5.0675 5.0675
angles (deg): 60.00 60.00 60.00
Last column: nearest neighbours and their distance in Å.
Positions (direct):
Sr: 0.2500 0.2500 0.2500  4 In 3.10, 4 Tc 3.10
Tc: 0.0000 0.0000 0.0000  4 In 3.10, 4 Sr 3.10
In: 0.7500 0.7500 0.7500  4 Tc 3.10, 4 In 3.10
In: 0.5000 0.5000 0.5000  4 Sr 3.10, 4 In 3.10

=====

Record 15
An optimized crystal structure of SrZrIn2. Source: OQMD via LeMat-Bulk, functional PBE-GGA.

Values from the calculation:
final energy: -3.63 eV per atom
crystal system: cubic
theoretical density: 6.2 Mg/m³
M_tot: 2.2 Bohr magnetons per cell
symmetry: F-43m, No. 216

a b c (Å): 5.3758 5.3758 5.3758
angles (deg): 60.00 60.00 60.00
Last column: nearest neighbours and their distance in Å.
Positions (direct):
Zr: 0.2500 0.2500 0.2500  4 Sr 3.29, 4 In 3.29
Sr: 0.0000 0.0000 0.0000  4 Zr 3.29, 4 In 3.29
In: 0.7500 0.7500 0.7500  4 In 3.29, 4 Sr 3.29
In: 0.5000 0.5000 0.5000  4 In 3.29, 4 Zr 3.29

=====

Record 16
An optimized crystal structure of Ta2In. Source: OQMD via LeMat-Bulk, functional PBE-GGA.

Values from the calculation:
final energy: -4.64 eV per atom
crystal system: cubic
theoretical density: 3.3 Mg/m³
M_tot: 10.4 Bohr magnetons per cell
symmetry: Fd-3m, No. 227

a b c (Å): 8.7751 8.7751 8.7751
angles (deg): 60.00 60.00 60.00
Last column: nearest neighbours and their distance in Å.
Positions (direct):
In: 0.2500 0.2500 0.2500  4 Ta 2.69
In: 0.5000 0.5000 0.5000  4 Ta 2.69
Ta: 0.8750 0.3750 0.3750  2 In 2.69
Ta: 0.3750 0.8750 0.3750  2 In 2.69
Ta: 0.3750 0.3750 0.8750  2 In 2.69
Ta: 0.3750 0.3750 0.3750  2 In 2.69

=====

Record 17
An optimized crystal structure of Ta2In. Source: OQMD via LeMat-Bulk, functional PBE-GGA.

Values from the calculation:
final energy: -7.80 eV per atom
crystal system: cubic
theoretical density: 11.9 Mg/m³
M_tot: 0.0 Bohr magnetons per cell
symmetry: Fm-3m, No. 225

a b c (Å): 4.5448 4.5448 4.5448
angles (deg): 60.00 60.00 60.00
Last column: nearest neighbours and their distance in Å.
Positions (direct):
In: 0.0000 0.0000 0.0000  8 Ta 2.78
Ta: 0.2500 0.2500 0.2500  4 In 2.78
Ta: 0.7500 0.7500 0.7500  4 In 2.78

=====

Record 18
An optimized crystal structure of TaIn. Source: OQMD via LeMat-Bulk, functional PBE-GGA.

Values from the calculation:
final energy: -6.35 eV per atom
crystal system: cubic
theoretical density: 11.1 Mg/m³
M_tot: 0.0 Bohr magnetons per cell
symmetry: Fm-3m, No. 225

a b c (Å): 3.9668 3.9668 3.9668
angles (deg): 60.00 60.00 60.00
Last column: nearest neighbours and their distance in Å.
Positions (direct):
Ta: 0.5000 0.5000 0.5000  6 In 2.80
In: 0.0000 0.0000 0.0000  6 Ta 2.80

=====

Record 19
An optimized crystal structure of TaIn. Source: OQMD via LeMat-Bulk, functional PBE-GGA.

Values from the calculation:
final energy: -7.10 eV per atom
crystal system: hexagonal
theoretical density: 12.3 Mg/m³
M_tot: 0.0 Bohr magnetons per cell
symmetry: P-6m2, No. 187

a b c (Å): 3.0586 3.0600 4.9288
angles (deg): 90.00 90.00 119.99
Last column: nearest neighbours and their distance in Å.
Positions (direct):
In: 0.6666 0.3332 0.7500  6 Ta 3.03, 6 In 3.06
Ta: 0.3334 0.6667 0.2500  6 In 3.03, 6 Ta 3.06

=====

Record 20
An optimized crystal structure of TaIn. Source: OQMD via LeMat-Bulk, functional PBE-GGA.

Values from the calculation:
final energy: -5.20 eV per atom
crystal system: cubic
theoretical density: 7.9 Mg/m³
M_tot: 0.0 Bohr magnetons per cell
symmetry: F-43m, No. 216

a b c (Å): 4.4381 4.4381 4.4381
angles (deg): 60.00 60.00 60.00
Last column: nearest neighbours and their distance in Å.
Positions (direct):
In: 0.0000 0.0000 0.0000  4 Ta 2.72
Ta: 0.2500 0.2500 0.2500  4 In 2.72